(1)
A geometry-optimized AlGaMo6 structure, computed with PBE.

The calculation puts the total energy at -73.44 eV for the cell shown. Its symmetry is No. 200.

abc: 4.972 4.972 4.972
angles: 90.00 90.00 90.00
Sites, in units of the cell vectors:
1 Al 0.000 0.000 0.000
2 Ga 0.500 0.500 0.500
3 Mo 0.000 0.500 0.250
4 Mo 0.000 0.500 0.750
5 Mo 0.250 0.000 0.500
6 Mo 0.500 0.250 0.000
7 Mo 0.500 0.750 0.000
8 Mo 0.750 0.000 0.500

(2)
A geometry-optimized LuMgTeAuS2 structure, computed with PBE.

The calculation puts the total energy at -53.42 eV for the cell shown. Its symmetry is No. 63.

abc: 6.803 6.803 11.308
angles: 90.00 90.00 146.70
Sites, in units of the cell vectors:
1 Lu 0.000 0.000 0.000
2 Lu 0.000 0.000 0.500
3 Mg 0.232 0.768 0.750
4 Mg 0.768 0.232 0.250
5 Te 0.108 0.892 0.250
6 Te 0.892 0.108 0.750
7 Au 0.422 0.578 0.250
8 Au 0.578 0.422 0.750
9 S 0.366 0.634 0.050
10 S 0.366 0.634 0.450
11 S 0.634 0.366 0.550
12 S 0.634 0.366 0.950

Number 2 is which compound? LuMgTeAuS2

Which formula does entry 2 have? LuMgTeAuS2